FeMo2Br: optimized geometry, PBE.

Unit cell a=5.329 b=5.329 c=5.329 alpha=146.65 beta=130.63 gamma=60.89
Last column: magnetic moment on the atom in μB.
Element x y z (fractional)
Br: 0.750 0.250 0.500  0.01
Fe: 0.250 0.750 0.500  2.32
Mo: 0.507 0.507 0.000  -0.20
Mo: 0.993 0.993 0.000  -0.20

Output
ΔE_f (raw) ... 79.42 kJ per mole of atoms
Symmetry ... Immm, No. 71
Polymorph energy (0 for the lowest one) ... 0.3798 eV/atom



TlTe8Pt4: optimized geometry, PBE.

Unit cell a=8.084 b=8.084 c=9.010 alpha=63.34 beta=63.34 gamma=60.00
Element x y z (fractional)
Te: 0.772 0.772 0.180
Te: 0.273 0.273 0.181
Te: 0.725 0.228 0.820
Te: 0.228 0.725 0.820
Te: 0.772 0.275 0.180
Te: 0.727 0.727 0.819
Te: 0.275 0.772 0.180
Te: 0.228 0.228 0.820
Pt: 0.500 0.500 0.000
Pt: 0.000 0.500 0.000
Pt: 0.000 0.000 0.000
Pt: 0.500 0.000 0.000
Tl: 0.500 0.500 0.500

Output
ΔE_f (raw) ... -33.00 kJ per mole of atoms
Symmetry ... R-3m, No. 166



YTiCu: optimized geometry, PBE.

Unit cell a=7.107 b=4.437 c=7.691 alpha=90.00 beta=90.00 gamma=90.00
Element x y z (fractional)
Ti: 0.370 0.750 0.927
Ti: 0.870 0.750 0.573
Ti: 0.130 0.250 0.427
Ti: 0.630 0.250 0.073
Cu: 0.780 0.250 0.384
Cu: 0.280 0.250 0.116
Cu: 0.220 0.750 0.616
Cu: 0.720 0.750 0.884
Y: 0.970 0.750 0.172
Y: 0.030 0.250 0.828
Y: 0.470 0.750 0.328
Y: 0.530 0.250 0.672

Output
ΔH_f (0 K) ... -0.033 eV/atom
Symmetry ... Pnma, No. 62
Polymorph energy (0 for the lowest one) ... 0.0000 eV/atom



Ho12ErAl3: optimized geometry, PBE.

Unit cell a=4.772 b=4.772 c=19.397 alpha=90.00 beta=90.00 gamma=90.00
Element x y z (fractional)
Al: 0.000 0.000 0.258
Al: 0.000 0.000 0.500
Al: 0.000 0.000 0.742
Er: 0.000 0.000 0.000
Ho: 0.500 0.500 0.257
Ho: 0.000 0.500 0.378
Ho: 0.500 0.500 0.000
Ho: 0.500 0.000 0.134
Ho: 0.500 0.000 0.378
Ho: 0.000 0.500 0.866
Ho: 0.500 0.500 0.500
Ho: 0.500 0.000 0.866
Ho: 0.000 0.500 0.134
Ho: 0.500 0.000 0.622
Ho: 0.500 0.500 0.743
Ho: 0.000 0.500 0.622

Output
ΔH_f (0 K) ... -0.129 eV/atom
Symmetry ... P4/mmm, No. 123



BeTc2Ir: optimized geometry, PBE.

Unit cell a=2.756 b=2.756 c=6.751 alpha=90.00 beta=90.00 gamma=90.00
Element x y z (fractional)
Tc: 0.000 0.000 0.035
Tc: 0.000 0.000 0.465
Be: 0.500 0.500 0.250
Ir: 0.500 0.500 0.750

Output
ΔH_f (0 K) ... -0.127 eV/atom
Symmetry ... P4/mmm, No. 123



MnReW2: optimized geometry, PBE.

Unit cell a=5.146 b=5.146 c=2.689 alpha=80.01 beta=80.01 gamma=116.68
Last column: magnetic moment on the atom in μB.
Element x y z (fractional)
Re: 0.000 0.500 0.500  0.03
W: 0.500 0.500 0.000  -0.07
W: 0.000 0.000 0.000  -0.07
Mn: 0.500 0.000 0.500  2.35

Output
ΔH_f (0 K) ... 0.090 eV/atom
Symmetry ... C2/m, No. 12
Polymorph energy (0 for the lowest one) ... 0.0067 eV/atom



| no. | N(E_F) (states/eV per atom) |
| --- | --- |
| 1 | 1.28 |
| 2 | 0.39 |
| 3 | 0.36 |
| 4 | 1.07 |
| 5 | 1.04 |
| 6 | 0.71 |